(1)
! Pr2Ga3SnRh4 PBE optimized geometry; values from VASP
! - density of states at the Fermi level (states/eV/f.u.) = 6.33
! - calculated total energy (eV per atom) = -5.975
! - ΔE_f (eV/atom) = -0.7705
! - crystal system = tetragonal
! - V (Å³/f.u.) = 196.78
&SYSTEM
  ibrav = 0, nat = 10, ntyp = 4
/
ATOMIC_SPECIES
Pr 140.91 Pr.upf
Ga 69.72 Ga.upf
Sn 118.71 Sn.upf
Rh 102.91 Rh.upf
ATOMIC_POSITIONS angstrom
Pr 0.000 2.193 2.387
Pr 2.193 0.000 7.845
Ga 0.000 2.193 9.011
Ga 2.193 0.000 1.222
Ga 2.193 2.193 5.116
Sn 0.000 0.000 5.116
Rh 0.000 0.000 0.000
Rh 0.000 2.193 6.530
Rh 2.193 0.000 3.703
Rh 2.193 2.193 0.000
CELL_PARAMETERS angstrom
4.385 0.000 0.000
0.000 4.385 0.000
0.000 0.000 10.232

---

(2)
! K2BiRhF PBE optimized geometry; values from VASP
! - density of states at the Fermi level (states/eV/f.u.) = 13.62
! - calculated total energy (eV per atom) = -2.833
! - ΔE_f (raw) (eV/atom) = 0.226
! - crystal system = tetragonal
! - V (Å³/f.u.) = 214.65
&SYSTEM
  ibrav = 0, nat = 5, ntyp = 4
/
ATOMIC_SPECIES
K 39.10 K.upf
Bi 208.98 Bi.upf
Rh 102.91 Rh.upf
F 19.00 F.upf
ATOMIC_POSITIONS angstrom
K 0.000 3.431 0.000
K 3.431 0.000 0.000
Bi 0.000 0.000 0.000
Rh 3.431 3.431 2.279
F 0.000 0.000 2.279
CELL_PARAMETERS angstrom
6.863 0.000 0.000
0.000 6.863 0.000
0.000 0.000 4.558

---

(3)
! AcCeSnSb PBE optimized geometry; values from VASP
! - density of states at the Fermi level (states/eV/f.u.) = 9.24
! - calculated total energy (eV per atom) = -5.191
! - ΔE_f (raw) (eV/atom) = -0.650
! - crystal system = cubic
! - V (Å³/f.u.) = 126.84
&SYSTEM
  ibrav = 0, nat = 4, ntyp = 4
/
ATOMIC_SPECIES
Ac 227.00 Ac.upf
Ce 140.12 Ce.upf
Sn 118.71 Sn.upf
Sb 121.76 Sb.upf
ATOMIC_POSITIONS angstrom
Ac 0.000 0.000 0.000
Ce 3.988 3.988 3.988
Sn 1.994 1.994 1.994
Sb 5.982 5.982 5.982
CELL_PARAMETERS angstrom
0.000 3.988 3.988
3.988 0.000 3.988
3.988 3.988 0.000

---

(4)
! CdBPt3 PBE optimized geometry; values from VASP
! - density of states at the Fermi level (states/eV/f.u.) = 1.08
! - energy above the most stable polymorph in this dataset (meV/atom) = 10
! - calculated total energy (eV per atom) = -5.485
! - ΔE_f (eV/atom) = -0.3421
! - crystal system = monoclinic
! - V (Å³/f.u.) = 76.89
&SYSTEM
  ibrav = 0, nat = 10, ntyp = 3
/
ATOMIC_SPECIES
Cd 112.41 Cd.upf
B 10.81 B.upf
Pt 195.08 Pt.upf
ATOMIC_POSITIONS angstrom
Cd -0.054 0.000 1.568
Cd 7.846 0.000 3.858
B 1.219 0.000 5.407
B 6.573 0.000 0.019
Pt 2.429 1.395 1.412
Pt 2.857 0.000 3.973
Pt 5.364 1.395 4.014
Pt 2.429 -1.395 1.412
Pt 4.935 0.000 1.453
Pt 5.364 -1.395 4.014
CELL_PARAMETERS angstrom
4.956 -2.859 0.000
4.956 2.859 0.000
-2.119 0.000 5.426

---

(5)
! CsLiAlAs2 PBE optimized geometry; values from VASP
! - density of states at the Fermi level (states/eV/f.u.) = 1.36
! - calculated total energy (eV per atom) = -3.661
! - ΔE_f (eV/atom) = -0.4992
! - crystal system = monoclinic
! - V (Å³/f.u.) = 133.94
&SYSTEM
  ibrav = 0, nat = 10, ntyp = 4
/
ATOMIC_SPECIES
Cs 132.91 Cs.upf
Li 6.94 Li.upf
Al 26.98 Al.upf
As 74.92 As.upf
ATOMIC_POSITIONS angstrom
Cs 1.789 0.000 1.256
Cs 6.806 0.000 8.985
Li 1.486 0.000 6.095
Li 7.109 0.000 4.145
Al -3.467 0.000 6.678
Al 12.062 0.000 3.563
As -1.117 0.000 5.819
As 5.597 0.000 2.014
As 2.999 0.000 8.226
As 9.712 0.000 4.422
CELL_PARAMETERS angstrom
7.195 -1.818 0.000
7.195 1.818 0.000
-5.795 0.000 10.241

---

(6)
! K2MoAs PBE optimized geometry; values from VASP
! - density of states at the Fermi level (states/eV/f.u.) = 2.96
! - calculated total energy (eV per atom) = -4.136
! - ΔE_f (eV/atom) = 0.2831
! - crystal system = monoclinic
! - V (Å³/f.u.) = 126.65
&SYSTEM
  ibrav = 0, nat = 4, ntyp = 3
/
ATOMIC_SPECIES
K 39.10 K.upf
Mo 95.94 Mo.upf
As 74.92 As.upf
ATOMIC_POSITIONS angstrom
K 0.000 0.000 0.000
K 1.608 1.752 4.275
Mo 1.610 1.752 7.586
As 3.361 0.000 6.967
CELL_PARAMETERS angstrom
3.503 0.000 0.000
0.000 3.503 0.000
-0.143 0.000 10.321

---

(7)
! RbIrCl2 PBE optimized geometry; values from VASP
! - density of states at the Fermi level (states/eV/f.u.) = 3.50
! - energy above the most stable polymorph in this dataset (meV/atom) = 505
! - calculated total energy (eV per atom) = -3.135
! - ΔE_f (raw) (eV/atom) = 0.245
! - crystal system = cubic
! - V (Å³/f.u.) = 94.07
&SYSTEM
  ibrav = 0, nat = 4, ntyp = 3
/
ATOMIC_SPECIES
Rb 85.47 Rb.upf
Ir 192.22 Ir.upf
Cl 35.45 Cl.upf
ATOMIC_POSITIONS angstrom
Rb 0.000 0.000 0.000
Ir 3.610 3.610 3.610
Cl 1.805 1.805 1.805
Cl 5.415 5.415 5.415
CELL_PARAMETERS angstrom
0.000 3.610 3.610
3.610 0.000 3.610
3.610 3.610 0.000

---

(8)
! NiPb2 PBE optimized geometry; values from VASP
! - density of states at the Fermi level (states/eV/f.u.) = 2.41
! - calculated total energy (eV per atom) = -4.139
! - ΔE_f (eV/atom) = 0.2607
! - crystal system = tetragonal
! - V (Å³/f.u.) = 73.45
&SYSTEM
  ibrav = 0, nat = 3, ntyp = 2
/
ATOMIC_SPECIES
Ni 58.69 Ni.upf
Pb 207.20 Pb.upf
ATOMIC_POSITIONS angstrom
Ni 0.000 0.000 0.000
Pb 0.000 2.339 1.678
Pb 2.339 0.000 1.678
CELL_PARAMETERS angstrom
4.678 0.000 0.000
0.000 4.678 0.000
0.000 0.000 3.356

---

(9)
! Mg3VPd12 PBE optimized geometry; values from VASP
! - density of states at the Fermi level (states/eV/f.u.) = 19.11
! - calculated total energy (eV per atom) = -5.191
! - ΔE_f (eV/atom) = -0.4278
! - crystal system = tetragonal
! - V (Å³/f.u.) = 246.09
&SYSTEM
  ibrav = 0, nat = 16, ntyp = 3
/
ATOMIC_SPECIES
Mg 24.30 Mg.upf
V 50.94 V.upf
Pd 106.42 Pd.upf
ATOMIC_POSITIONS angstrom
Mg 0.000 0.000 0.000
Mg 0.000 0.000 3.977
Mg 0.000 0.000 11.825
V 0.000 0.000 7.901
Pd 0.000 1.973 1.998
Pd 0.000 1.973 6.039
Pd 0.000 1.973 9.762
Pd 0.000 1.973 13.804
Pd 1.973 0.000 1.998
Pd 1.973 0.000 6.039
Pd 1.973 0.000 9.762
Pd 1.973 0.000 13.804
Pd 1.973 1.973 0.000
Pd 1.973 1.973 4.015
Pd 1.973 1.973 7.901
Pd 1.973 1.973 11.786
CELL_PARAMETERS angstrom
3.946 0.000 0.000
0.000 3.946 0.000
0.000 0.000 15.802

---

(10)
! ScRh2Se PBE optimized geometry; values from VASP
! - density of states at the Fermi level (states/eV/f.u.) = 3.68
! - energy above the most stable polymorph in this dataset (meV/atom) = 77
! - calculated total energy (eV per atom) = -6.695
! - ΔE_f (raw) (eV/atom) = -0.565
! - crystal system = monoclinic
! - V (Å³/f.u.) = 67.17
&SYSTEM
  ibrav = 0, nat = 4, ntyp = 3
/
ATOMIC_SPECIES
Sc 44.96 Sc.upf
Rh 102.91 Rh.upf
Se 78.96 Se.upf
ATOMIC_POSITIONS angstrom
Sc 0.000 0.000 0.000
Rh -0.001 1.949 3.730
Rh 1.671 0.000 2.577
Se 1.675 1.949 1.102
CELL_PARAMETERS angstrom
3.346 0.000 0.000
0.000 3.898 0.000
-1.666 0.000 5.149

---

(11)
! RbBeSb2I PBE optimized geometry; values from VASP
! - density of states at the Fermi level (states/eV/f.u.) = 3.32
! - energy above the most stable polymorph in this dataset (meV/atom) = 0
! - calculated total energy (eV per atom) = -2.928
! - ΔE_f (raw) (eV/atom) = -0.030
! - crystal system = tetragonal
! - V (Å³/f.u.) = 201.60
&SYSTEM
  ibrav = 0, nat = 5, ntyp = 4
/
ATOMIC_SPECIES
Rb 85.47 Rb.upf
Be 9.01 Be.upf
Sb 121.76 Sb.upf
I 126.90 I.upf
ATOMIC_POSITIONS angstrom
Rb 0.000 0.000 0.000
Be 2.426 2.426 4.283
Sb 0.000 2.426 4.283
Sb 2.426 0.000 4.283
I 2.426 2.426 0.000
CELL_PARAMETERS angstrom
4.851 0.000 0.000
0.000 4.851 0.000
0.000 0.000 8.566

---

(12)
! Ag3MoPd PBE optimized geometry; values from VASP
! - density of states at the Fermi level (states/eV/f.u.) = 1.75
! - energy above the most stable polymorph in this dataset (meV/atom) = 0
! - calculated total energy (eV per atom) = -3.580
! - ΔE_f (eV/atom) = 1.3356
! - crystal system = cubic
! - V (Å³/f.u.) = 124.61
&SYSTEM
  ibrav = 0, nat = 5, ntyp = 3
/
ATOMIC_SPECIES
Ag 107.87 Ag.upf
Mo 95.94 Mo.upf
Pd 106.42 Pd.upf
ATOMIC_POSITIONS angstrom
Ag 0.000 0.000 2.497
Ag 0.000 2.497 0.000
Ag 2.497 0.000 0.000
Mo 2.497 2.497 2.497
Pd 0.000 0.000 0.000
CELL_PARAMETERS angstrom
4.995 0.000 0.000
0.000 4.995 0.000
0.000 0.000 4.995